Arrangement i

Be2VFe after structural relaxation, computed with PBE.

Geometry as CIF:
```
data_Be2VFe
_chemical_formula_sum 'Be8 V4 Fe4'
_cell_length_a 5.381
_cell_length_b 5.381
_cell_length_c 5.381
_cell_angle_alpha 90.00
_cell_angle_beta 90.00
_cell_angle_gamma 90.00
_space_group_name_H-M_alt 'P 1'
_space_group_IT_number 1
loop_
_space_group_symop_operation_xyz
'x,y,z'
loop_
_atom_site_label
_atom_site_fract_x
_atom_site_fract_y
_atom_site_fract_z
Be1 0.250 0.250 0.250
Be2 0.250 0.250 0.750
Be3 0.250 0.750 0.250
Be4 0.250 0.750 0.750
Be5 0.750 0.250 0.250
Be6 0.750 0.250 0.750
Be7 0.750 0.750 0.250
Be8 0.750 0.750 0.750
V1 0.000 0.000 0.000
V2 0.000 0.500 0.500
V3 0.500 0.000 0.500
V4 0.500 0.500 0.000
Fe1 0.000 0.000 0.500
Fe2 0.000 0.500 0.000
Fe3 0.500 0.000 0.000
Fe4 0.500 0.500 0.500
```

Arrangement ii

Be2VFe after structural relaxation, computed with PBE.

Geometry as CIF:
```
data_Be2VFe
_chemical_formula_sum 'Be2 V1 Fe1'
_cell_length_a 3.313
_cell_length_b 3.313
_cell_length_c 3.662
_cell_angle_alpha 90.00
_cell_angle_beta 90.00
_cell_angle_gamma 90.00
_space_group_name_H-M_alt 'P 1'
_space_group_IT_number 1
loop_
_space_group_symop_operation_xyz
'x,y,z'
loop_
_atom_site_label
_atom_site_fract_x
_atom_site_fract_y
_atom_site_fract_z
Be1 0.000 0.500 0.000
Be2 0.500 0.000 0.000
V1 0.000 0.000 0.500
Fe1 0.500 0.500 0.500
```

Arrangement iii

Be2VFe after structural relaxation, computed with PBE.

Geometry as CIF:
```
data_Be2VFe
_chemical_formula_sum 'Be2 V1 Fe1'
_cell_length_a 2.508
_cell_length_b 2.508
_cell_length_c 6.449
_cell_angle_alpha 90.00
_cell_angle_beta 90.00
_cell_angle_gamma 90.00
_space_group_name_H-M_alt 'P 1'
_space_group_IT_number 1
loop_
_space_group_symop_operation_xyz
'x,y,z'
loop_
_atom_site_label
_atom_site_fract_x
_atom_site_fract_y
_atom_site_fract_z
Be1 0.000 0.000 0.232
Be2 0.000 0.000 0.768
V1 0.500 0.500 0.500
Fe1 0.500 0.500 0.000
```

Most stable structure: arrangement iii

Arrangement i

Be3VFe after structural relaxation, computed with PBE.

Geometry as CIF:
```
data_Be3VFe
_chemical_formula_sum 'Be3 V1 Fe1'
_cell_length_a 3.849
_cell_length_b 3.849
_cell_length_c 3.849
_cell_angle_alpha 90.00
_cell_angle_beta 90.00
_cell_angle_gamma 90.00
_space_group_name_H-M_alt 'P 1'
_space_group_IT_number 1
loop_
_space_group_symop_operation_xyz
'x,y,z'
loop_
_atom_site_label
_atom_site_fract_x
_atom_site_fract_y
_atom_site_fract_z
Be1 0.000 0.000 0.500
Be2 0.000 0.500 0.000
Be3 0.500 0.000 0.000
V1 0.500 0.500 0.500
Fe1 0.000 0.000 0.000
```

Arrangement ii

Be3VFe after structural relaxation, computed with PBE.

Geometry as CIF:
```
data_Be3VFe
_chemical_formula_sum 'Be3 V1 Fe1'
_cell_length_a 4.078
_cell_length_b 4.078
_cell_length_c 4.078
_cell_angle_alpha 90.00
_cell_angle_beta 90.00
_cell_angle_gamma 90.00
_space_group_name_H-M_alt 'P 1'
_space_group_IT_number 1
loop_
_space_group_symop_operation_xyz
'x,y,z'
loop_
_atom_site_label
_atom_site_fract_x
_atom_site_fract_y
_atom_site_fract_z
Be1 0.000 0.000 0.500
Be2 0.000 0.500 0.000
Be3 0.500 0.000 0.000
V1 0.000 0.000 0.000
Fe1 0.500 0.500 0.500
```

Most stable structure: arrangement i

Arrangement i

BeV3Fe after structural relaxation, computed with PBE.

Geometry as CIF:
```
data_BeV3Fe
_chemical_formula_sum 'Be1 V3 Fe1'
_cell_length_a 4.069
_cell_length_b 4.069
_cell_length_c 4.069
_cell_angle_alpha 90.00
_cell_angle_beta 90.00
_cell_angle_gamma 90.00
_space_group_name_H-M_alt 'P 1'
_space_group_IT_number 1
loop_
_space_group_symop_operation_xyz
'x,y,z'
loop_
_atom_site_label
_atom_site_fract_x
_atom_site_fract_y
_atom_site_fract_z
Be1 0.000 0.000 0.000
V1 0.000 0.000 0.500
V2 0.000 0.500 0.000
V3 0.500 0.000 0.000
Fe1 0.500 0.500 0.500
```

Arrangement ii

BeV3Fe after structural relaxation, computed with PBE.

Geometry as CIF:
```
data_BeV3Fe
_chemical_formula_sum 'Be1 V3 Fe1'
_cell_length_a 4.248
_cell_length_b 4.248
_cell_length_c 4.248
_cell_angle_alpha 90.00
_cell_angle_beta 90.00
_cell_angle_gamma 90.00
_space_group_name_H-M_alt 'P 1'
_space_group_IT_number 1
loop_
_space_group_symop_operation_xyz
'x,y,z'
loop_
_atom_site_label
_atom_site_fract_x
_atom_site_fract_y
_atom_site_fract_z
Be1 0.000 0.000 0.000
V1 0.000 0.500 0.500
V2 0.500 0.000 0.500
V3 0.500 0.500 0.000
Fe1 0.500 0.500 0.500
```

Most stable structure: arrangement i

Arrangement i

BeFe2W2 after structural relaxation, computed with PBE.

Geometry as CIF:
```
data_BeFe2W2
_chemical_formula_sum 'Be2 Fe4 W4'
_cell_length_a 6.810
_cell_length_b 6.810
_cell_length_c 2.852
_cell_angle_alpha 90.00
_cell_angle_beta 90.00
_cell_angle_gamma 90.00
_space_group_name_H-M_alt 'P 1'
_space_group_IT_number 1
loop_
_space_group_symop_operation_xyz
'x,y,z'
loop_
_atom_site_label
_atom_site_fract_x
_atom_site_fract_y
_atom_site_fract_z
Be1 0.000 0.000 0.000
Be2 0.500 0.500 0.000
Fe1 0.130 0.370 0.000
Fe2 0.370 0.870 0.000
Fe3 0.630 0.130 0.000
Fe4 0.870 0.630 0.000
W1 0.171 0.671 0.500
W2 0.329 0.171 0.500
W3 0.671 0.829 0.500
W4 0.829 0.329 0.500
```

Arrangement ii

BeFe2W2 after structural relaxation, computed with PBE.

Geometry as CIF:
```
data_BeFe2W2
_chemical_formula_sum 'Be2 Fe4 W4'
_cell_length_a 4.061
_cell_length_b 4.061
_cell_length_c 9.146
_cell_angle_alpha 90.00
_cell_angle_beta 90.00
_cell_angle_gamma 90.00
_space_group_name_H-M_alt 'P 1'
_space_group_IT_number 1
loop_
_space_group_symop_operation_xyz
'x,y,z'
loop_
_atom_site_label
_atom_site_fract_x
_atom_site_fract_y
_atom_site_fract_z
Be1 0.000 0.000 0.000
Be2 0.500 0.500 0.500
Fe1 0.000 0.000 0.385
Fe2 0.000 0.000 0.615
Fe3 0.500 0.500 0.115
Fe4 0.500 0.500 0.885
W1 0.000 0.500 0.250
W2 0.000 0.500 0.750
W3 0.500 0.000 0.250
W4 0.500 0.000 0.750
```

Most stable structure: arrangement i

Arrangement i

BeFeW3 after structural relaxation, computed with PBE.

Geometry as CIF:
```
data_BeFeW3
_chemical_formula_sum 'Be1 Fe1 W3'
_cell_length_a 4.169
_cell_length_b 4.169
_cell_length_c 4.169
_cell_angle_alpha 90.00
_cell_angle_beta 90.00
_cell_angle_gamma 90.00
_space_group_name_H-M_alt 'P 1'
_space_group_IT_number 1
loop_
_space_group_symop_operation_xyz
'x,y,z'
loop_
_atom_site_label
_atom_site_fract_x
_atom_site_fract_y
_atom_site_fract_z
Be1 0.000 0.000 0.000
Fe1 0.500 0.500 0.500
W1 0.000 0.000 0.500
W2 0.000 0.500 0.000
W3 0.500 0.000 0.000
```

Arrangement ii

BeFeW3 after structural relaxation, computed with PBE.

Geometry as CIF:
```
data_BeFeW3
_chemical_formula_sum 'Be1 Fe1 W3'
_cell_length_a 4.432
_cell_length_b 4.432
_cell_length_c 4.432
_cell_angle_alpha 90.00
_cell_angle_beta 90.00
_cell_angle_gamma 90.00
_space_group_name_H-M_alt 'P 1'
_space_group_IT_number 1
loop_
_space_group_symop_operation_xyz
'x,y,z'
loop_
_atom_site_label
_atom_site_fract_x
_atom_site_fract_y
_atom_site_fract_z
Be1 0.000 0.000 0.000
Fe1 0.500 0.500 0.500
W1 0.000 0.500 0.500
W2 0.500 0.000 0.500
W3 0.500 0.500 0.000
```

Most stable structure: arrangement i

Arrangement i

BeZnFe3 after structural relaxation, computed with PBE.

Geometry as CIF:
```
data_BeZnFe3
_chemical_formula_sum 'Be1 Zn1 Fe3'
_cell_length_a 4.346
_cell_length_b 4.346
_cell_length_c 4.346
_cell_angle_alpha 90.00
_cell_angle_beta 90.00
_cell_angle_gamma 90.00
_space_group_name_H-M_alt 'P 1'
_space_group_IT_number 1
loop_
_space_group_symop_operation_xyz
'x,y,z'
loop_
_atom_site_label
_atom_site_fract_x
_atom_site_fract_y
_atom_site_fract_z
Be1 0.000 0.000 0.000
Zn1 0.500 0.500 0.500
Fe1 0.000 0.500 0.500
Fe2 0.500 0.000 0.500
Fe3 0.500 0.500 0.000
```

Arrangement ii

BeZnFe3 after structural relaxation, computed with PBE.

Geometry as CIF:
```
data_BeZnFe3
_chemical_formula_sum 'Be1 Zn1 Fe3'
_cell_length_a 3.947
_cell_length_b 3.947
_cell_length_c 3.947
_cell_angle_alpha 90.00
_cell_angle_beta 90.00
_cell_angle_gamma 90.00
_space_group_name_H-M_alt 'P 1'
_space_group_IT_number 1
loop_
_space_group_symop_operation_xyz
'x,y,z'
loop_
_atom_site_label
_atom_site_fract_x
_atom_site_fract_y
_atom_site_fract_z
Be1 0.000 0.000 0.000
Zn1 0.500 0.500 0.500
Fe1 0.000 0.000 0.500
Fe2 0.000 0.500 0.000
Fe3 0.500 0.000 0.000
```

Most stable structure: arrangement ii

Arrangement i

ZrBe2Fe after structural relaxation, computed with PBE.

Geometry as CIF:
```
data_ZrBe2Fe
_chemical_formula_sum 'Zr4 Be8 Fe4'
_cell_length_a 3.878
_cell_length_b 3.878
_cell_length_c 14.934
_cell_angle_alpha 90.00
_cell_angle_beta 90.00
_cell_angle_gamma 90.00
_space_group_name_H-M_alt 'P 1'
_space_group_IT_number 1
loop_
_space_group_symop_operation_xyz
'x,y,z'
loop_
_atom_site_label
_atom_site_fract_x
_atom_site_fract_y
_atom_site_fract_z
Zr1 0.000 0.250 0.375
Zr2 0.000 0.750 0.625
Zr3 0.500 0.250 0.125
Zr4 0.500 0.750 0.875
Be1 0.000 0.000 0.000
Be2 0.000 0.500 0.000
Be3 0.250 0.250 0.750
Be4 0.250 0.750 0.250
Be5 0.500 0.000 0.500
Be6 0.500 0.500 0.500
Be7 0.750 0.250 0.750
Be8 0.750 0.750 0.250
Fe1 0.000 0.250 0.875
Fe2 0.000 0.750 0.125
Fe3 0.500 0.250 0.625
Fe4 0.500 0.750 0.375
```

Arrangement ii

ZrBe2Fe after structural relaxation, computed with PBE.

Geometry as CIF:
```
data_ZrBe2Fe
_chemical_formula_sum 'Zr4 Be8 Fe4'
_cell_length_a 5.826
_cell_length_b 5.826
_cell_length_c 5.826
_cell_angle_alpha 90.00
_cell_angle_beta 90.00
_cell_angle_gamma 90.00
_space_group_name_H-M_alt 'P 1'
_space_group_IT_number 1
loop_
_space_group_symop_operation_xyz
'x,y,z'
loop_
_atom_site_label
_atom_site_fract_x
_atom_site_fract_y
_atom_site_fract_z
Zr1 0.000 0.000 0.000
Zr2 0.000 0.500 0.500
Zr3 0.500 0.000 0.500
Zr4 0.500 0.500 0.000
Be1 0.250 0.250 0.250
Be2 0.250 0.250 0.750
Be3 0.250 0.750 0.250
Be4 0.250 0.750 0.750
Be5 0.750 0.250 0.250
Be6 0.750 0.250 0.750
Be7 0.750 0.750 0.250
Be8 0.750 0.750 0.750
Fe1 0.000 0.000 0.500
Fe2 0.000 0.500 0.000
Fe3 0.500 0.000 0.000
Fe4 0.500 0.500 0.500
```

Most stable structure: arrangement ii

Arrangement i

ZrBe2Fe after structural relaxation, computed with PBE.

Geometry as CIF:
```
data_ZrBe2Fe
_chemical_formula_sum 'Zr3 Be6 Fe3'
_cell_length_a 2.724
_cell_length_b 2.724
_cell_length_c 24.962
_cell_angle_alpha 90.00
_cell_angle_beta 90.00
_cell_angle_gamma 120.00
_space_group_name_H-M_alt 'P 1'
_space_group_IT_number 1
loop_
_space_group_symop_operation_xyz
'x,y,z'
loop_
_atom_site_label
_atom_site_fract_x
_atom_site_fract_y
_atom_site_fract_z
Zr1 0.000 0.000 0.000
Zr2 0.333 0.667 0.667
Zr3 0.667 0.333 0.333
Be1 0.000 0.000 0.496
Be2 0.000 0.000 0.761
Be3 0.333 0.667 0.162
Be4 0.333 0.667 0.427
Be5 0.667 0.333 0.094
Be6 0.667 0.333 0.829
Fe1 0.000 0.000 0.234
Fe2 0.333 0.667 0.900
Fe3 0.667 0.333 0.567
```

Arrangement ii

ZrBe2Fe after structural relaxation, computed with PBE.

Geometry as CIF:
```
data_ZrBe2Fe
_chemical_formula_sum 'Zr1 Be2 Fe1'
_cell_length_a 2.715
_cell_length_b 3.132
_cell_length_c 5.805
_cell_angle_alpha 90.00
_cell_angle_beta 90.00
_cell_angle_gamma 90.00
_space_group_name_H-M_alt 'P 1'
_space_group_IT_number 1
loop_
_space_group_symop_operation_xyz
'x,y,z'
loop_
_atom_site_label
_atom_site_fract_x
_atom_site_fract_y
_atom_site_fract_z
Zr1 0.000 0.000 0.000
Be1 0.500 0.500 0.319
Be2 0.500 0.500 0.681
Fe1 0.000 0.000 0.500
```

Most stable structure: arrangement ii